# 1
Density functional theory data (PBE) for crystalline Sr3Be2ZnO6 at its relaxed geometry.

a = 5.5473 Å, b = 5.5473 Å, c = 6.3807 Å
α = 90.00°, β = 90.00°, γ = 120.00°
Last column: nearest neighbours and their distance in Å.
Sites, in units of the cell vectors:
Sr  0.3333  0.6667  0.6696  1 Be 2.62, 9 O 2.79-2.88
Sr  0.6667  0.3333  0.3304  1 Be 2.62, 9 O 2.79-2.88
Sr  0.0000  0.0000  0.0000  6 O 2.49
O  0.1752  0.3504  0.2870  1 Be 1.53
O  0.8248  0.1752  0.7130  1 Be 1.53
O  0.8248  0.6496  0.7130  1 Be 1.53
O  0.1752  0.8248  0.2870  1 Be 1.53
O  0.3504  0.1752  0.7130  1 Be 1.53
O  0.6496  0.8248  0.2870  1 Be 1.53
Be  0.3333  0.6667  0.2583  3 O 1.53
Be  0.6667  0.3333  0.7417  3 O 1.53
Zn  0.0000  0.0000  0.5000  6 O 2.16

## Properties
raw total energy	-0.2207	hartree per atom
symmetry	No. 164
Fermi-level density of states	0.000	states/eV/atom
V	14.2	A^3/atom
magnetization	0.00	Bohr magnetons per cell
ΔE_f (raw)	-2.378	eV/atom

---

# 2
Density functional theory data (PBE) for crystalline SrBeZnO3 at its relaxed geometry.

a = 5.4962 Å, b = 5.4962 Å, c = 5.6692 Å
α = 71.03°, β = 71.03°, γ = 76.54°
Last column: nearest neighbours and their distance in Å.
Sites, in units of the cell vectors:
O  0.7284  0.1720  0.7733  1 Be 1.62
O  0.1720  0.7284  0.7733  1 Be 1.62
O  0.8280  0.2716  0.2267  1 Be 1.62
O  0.6588  0.6588  0.4541  2 Be 1.70, 1 Zn 1.90
O  0.3412  0.3412  0.5459  2 Be 1.70, 1 Zn 1.90
O  0.2716  0.8280  0.2267  1 Be 1.62
Sr  0.3019  0.3019  0.1077  5 O 2.50-2.64
Sr  0.6981  0.6981  0.8923  5 O 2.50-2.64
Zn  0.8999  0.8999  0.2775  3 O 1.90-1.93
Zn  0.1001  0.1001  0.7225  3 O 1.90-1.93
Be  0.6643  0.3357  0.5000  4 O 1.62-1.70
Be  0.3357  0.6643  0.5000  4 O 1.62-1.70

## Properties
raw total energy	-0.2121	hartree per atom
symmetry	No. 12
Fermi-level density of states	0.000	states/eV/atom
V	12.6	A^3/atom
magnetization	0.00	Bohr magnetons per cell
ΔE_f (raw)	-2.178	eV/atom

---

# 3
Density functional theory data (PBE) for crystalline SrBeZnO2 at its relaxed geometry.

a = 4.0474 Å, b = 5.4183 Å, c = 4.0474 Å
α = 90.00°, β = 90.00°, γ = 90.00°
Last column: nearest neighbours and their distance in Å.
Sites, in units of the cell vectors:
O  0.5000  0.0000  0.0000  2 Zn 2.02
O  0.0000  0.0000  0.5000  2 Zn 2.02
Be  0.5000  0.5000  0.5000  4 Sr 2.86
Sr  0.0000  0.5000  0.0000  2 Zn 2.71, 4 Be 2.86
Zn  0.0000  0.0000  0.0000  4 O 2.02

## Properties
raw total energy	-0.1136	hartree per atom
symmetry	No. 123
Fermi-level density of states	0.510	states/eV/atom
V	17.8	A^3/atom
magnetization	0.33	Bohr magnetons per cell
ΔE_f (raw)	0.228	eV/atom

---

# 4
Density functional theory data (PBE) for crystalline TaBe3O at its relaxed geometry.

a = 4.6468 Å, b = 4.6468 Å, c = 4.6468 Å
α = 90.00°, β = 90.00°, γ = 90.00°
Last column: nearest neighbours and their distance in Å.
Sites, in units of the cell vectors:
Be  0.5000  0.0000  0.0000  2 Ta 2.32
Be  0.0000  0.5000  0.0000  2 Ta 2.32
Be  0.0000  0.0000  0.5000  2 Ta 2.32
Ta  0.0000  0.0000  0.0000  6 Be 2.32
O  0.5000  0.5000  0.5000  12 Be 3.29

## Properties
raw total energy	-0.1232	hartree per atom
energy above the most stable polymorph in this dataset	2.245	eV per atom
symmetry	No. 221
Fermi-level density of states	0.905	states/eV/atom
V	20.1	A^3/atom
magnetization	1.08	Bohr magnetons per cell
ΔE_f (raw)	2.244	eV/atom